# 1
The following is a DFT calculation (GGA-PBE) of crystalline V3CdTe at its relaxed geometry.

POSCAR file:
```
V3CdTe
1.0
-4.8794 0.2422 -0.3092
-0.3428 -4.5072 1.8790
-0.1917 1.8946 4.5096
Te V Cd
1 3 1
direct
0.0000 0.0000 0.0000
0.5000 0.0000 0.0000
0.0000 0.5000 0.0000
0.0000 0.0000 0.5000
0.5000 0.5000 0.5000
```

## Properties
The calculation puts the density of states at the Fermi level at 7.2 states/eV/cell. For the electronic total energy, the calculation gives -5.123 eV/atom. For the energy above the most stable polymorph in this dataset, the calculation gives 0 meV/atom.

***

# 2
The following is a DFT calculation (GGA-PBE) of crystalline SrSb2TePd at its relaxed geometry.

POSCAR file:
```
SrSb2TePd
1.0
5.2336 0.0000 0.0000
0.0000 5.2336 0.0000
0.0000 0.0000 5.6707
Te Pd Sb Sr
1 1 2 1
direct
0.0000 0.0000 0.5000
0.0000 0.0000 0.0000
0.0000 0.5000 0.0000
0.5000 0.0000 0.0000
0.5000 0.5000 0.5000
```

## Properties
The calculation puts the density of states at the Fermi level at 5.0 states/eV/cell. For the electronic total energy, the calculation gives -3.986 eV/atom. For the energy above the most stable polymorph in this dataset, the calculation gives 0 meV/atom.